First-principles (PBE) data for crystalline Au4Cl5 at its relaxed geometry, as listed in the Alexandria database.

The structure in POSCAR format:
```
Au4Cl5
1.0
-1.743 3.617 -6.671
2.453 -7.389 -0.103
-7.100 -2.365 0.573
Cl Au
10 8
direct
0.250 0.250 0.250
0.000 0.750 0.250
0.000 0.250 0.750
0.750 0.750 0.750
0.333 0.667 0.000
0.667 0.333 0.000
0.667 0.333 0.500
0.250 0.000 0.750
0.750 0.000 0.250
0.333 0.667 0.500
0.000 0.573 0.750
0.427 0.427 0.750
0.000 0.427 0.250
0.573 0.000 0.750
0.000 0.000 0.000
0.573 0.573 0.250
0.427 0.000 0.250
0.000 0.000 0.500
```

Calculated values
* uncorrected energy: -41.1 eV for the cell shown
* calculated density: 8.1 g/cm3

=====

First-principles (PBE) data for crystalline RbCd2AgHg at its relaxed geometry, as listed in the Alexandria database.

The structure in POSCAR format:
```
RbCd2AgHg
1.0
-0.962 1.148 -5.221
4.886 -1.964 -1.332
-2.579 -5.863 -0.814
Hg Cd Rb Ag
1 2 1 1
direct
0.500 0.500 0.500
0.000 0.500 0.000
0.500 0.000 0.000
0.000 0.000 0.500
0.000 0.000 0.000
```

Calculated values
* energy relative to the elements: 0.078 eV/atom
* excess energy over the best structure of this formula in the dataset: 0.43 eV/f.u.
* calculated density: 5.4 g/cm3

=====

First-principles (PBE) data for crystalline TaTcP2 at its relaxed geometry, as listed in the Alexandria database.

The structure in POSCAR format:
```
TaTcP2
1.0
-0.302 -2.218 -2.248
2.891 -1.102 0.699
-2.283 -3.562 3.821
Tc P Ta
1 2 1
direct
0.500 0.500 0.807
0.500 0.500 0.258
0.000 0.000 0.984
0.000 0.000 0.452
```

Calculated values
* energy relative to the elements: -0.546 eV/atom
* excess energy over the best structure of this formula in the dataset: 0.45 eV/f.u.
* calculated density: 9.9 g/cm3

=====

First-principles (PBE) data for crystalline TlCuN2 at its relaxed geometry, as listed in the Alexandria database.

The structure in POSCAR format:
```
TlCuN2
1.0
-1.111 2.168 -4.281
2.025 -3.772 -2.436
-3.732 -3.026 -3.397
Tl Cu N
2 2 4
direct
0.000 0.000 0.000
0.750 0.250 0.500
0.250 0.750 0.500
0.500 0.500 0.000
0.875 0.806 0.750
0.194 0.625 0.250
0.375 0.444 0.750
0.556 0.125 0.250
```

Calculated values
* excess energy over the best structure of this formula in the dataset: 0.00 eV/f.u.
* calculated density: 8.5 g/cm3

=====

First-principles (PBE) data for crystalline BaSr2Bi at its relaxed geometry, as listed in the Alexandria database.

The structure in POSCAR format:
```
BaSr2Bi
1.0
5.635 0.000 0.000
0.000 5.495 0.000
0.000 0.000 5.495
Sr Bi Ba
2 1 1
direct
0.000 0.500 0.000
0.000 0.000 0.500
0.500 0.500 0.500
0.500 0.000 0.000
```

Calculated values
* energy relative to the elements: -0.432 eV/atom
* calculated density: 5.1 g/cm3

=====

First-principles (PBE) data for crystalline Zr6Zn5Ga at its relaxed geometry, as listed in the Alexandria database.

The structure in POSCAR format:
```
Zr6Zn5Ga
1.0
4.541 -0.003 -1.273
-3.396 6.628 -3.402
-0.169 -0.928 8.133
Zr Zn Ga
6 5 1
direct
0.750 0.916 0.583
0.249 0.749 0.749
0.250 0.084 0.417
0.751 0.251 0.251
0.250 0.417 0.084
0.750 0.583 0.916
0.500 0.830 0.170
0.000 0.667 0.333
0.000 0.333 0.667
0.500 0.170 0.830
0.500 0.500 0.500
0.000 0.000 0.000
```

Calculated values
* energy relative to the elements: -0.310 eV/atom
* calculated density: 7.0 g/cm3

=====

First-principles (PBE) data for crystalline ZnCoMo2H at its relaxed geometry, as listed in the Alexandria database.

The structure in POSCAR format:
```
ZnCoMo2H
1.0
3.890 0.000 0.000
0.000 3.890 0.000
0.000 0.000 3.863
Zn Mo Co H
1 2 1 1
direct
0.500 0.500 0.500
0.000 0.500 0.000
0.500 0.000 0.000
0.000 0.000 0.500
0.000 0.000 0.000
```

Calculated values
* uncorrected energy: -32.7 eV for the cell shown
* calculated density: 9.0 g/cm3

=====

First-principles (PBE) data for crystalline LiLaGa2Pd at its relaxed geometry, as listed in the Alexandria database.

The structure in POSCAR format:
```
LiLaGa2Pd
1.0
4.589 0.000 0.000
0.000 4.589 0.000
-2.295 -2.295 4.764
Li Ga Pd La
1 2 1 1
direct
0.250 0.750 0.500
0.629 0.629 0.258
0.371 0.371 0.742
0.750 0.250 0.500
0.000 0.000 0.000
```

Calculated values
* energy relative to the elements: -0.609 eV/atom
* excess energy over the best structure of this formula in the dataset: 0.00 eV/f.u.
* calculated density: 6.5 g/cm3

=====

Among the records above, which one has the lowest calculated density?
BaSr2Bi

=====

Among the records above, which one has the highest calculated density?
TaTcP2

=====

calculated density of number 6 (Zr6Zn5Ga)?
7.0 g/cm3